## AgB2Cl6 (PBE)

Data for AgB2Cl6 after structural relaxation.

Structure (CIF):
```
data_AgB2Cl6
_chemical_formula_sum 'Ag2 B4 Cl12'
_cell_length_a 6.3598
_cell_length_b 10.6571
_cell_length_c 10.6571
_cell_angle_alpha 67.40
_cell_angle_beta 71.12
_cell_angle_gamma 71.12
_space_group_name_H-M_alt 'P 1'
_space_group_IT_number 1
_space_group_name_Hall 'P 1'
loop_
_atom_site_label
_atom_site_type_symbol
_atom_site_fract_x
_atom_site_fract_y
_atom_site_fract_z
Cl1 Cl 0.6239 0.3131 0.4149
B1 B 0.1611 0.2400 0.4188
B2 B 0.6611 0.4188 0.2400
Cl2 Cl 0.9145 0.8008 0.3998
Cl3 Cl 0.5855 0.6002 0.1992
Cl4 Cl 0.2264 0.6580 0.8927
Cl5 Cl 0.0855 0.1992 0.6002
Ag1 Ag 0.2500 0.0001 0.9999
Ag2 Ag 0.7500 0.9999 0.0001
Cl6 Cl 0.7736 0.3420 0.1073
Cl7 Cl 0.4145 0.3998 0.8008
Cl8 Cl 0.7264 0.8927 0.6580
B3 B 0.3389 0.5812 0.7600
B4 B 0.8389 0.7600 0.5812
Cl9 Cl 0.3761 0.6869 0.5851
Cl10 Cl 0.8761 0.5851 0.6869
Cl11 Cl 0.2736 0.1073 0.3420
Cl12 Cl 0.1239 0.4149 0.3131
```

Formation energy from raw total energies = -660 meV per atom
Magnetization = 0.0 μB per formula unit
Calculated total energy = -3.6913 eV per atom